(one)
The following is a SCAN calculation of a crystal of K2CaMn relaxed with PBEsol, from the Alexandria database.

CIF file:
```
data_K2CaMn
_chemical_formula_sum 'K8 Ca4 Mn4'
_cell_length_a 8.725
_cell_length_b 8.725
_cell_length_c 8.725
_cell_angle_alpha 90.00
_cell_angle_beta 90.00
_cell_angle_gamma 90.00
_symmetry_space_group_name_H-M 'F m -3 m'
_symmetry_Int_Tables_number 225
_symmetry_space_group_name_Hall '-F 4 2 3'
loop_
_atom_site_label
_atom_site_fract_x
_atom_site_fract_y
_atom_site_fract_z
K1 0.250 0.250 0.250
Ca1 0.000 0.000 0.000
Mn1 0.000 0.000 0.500
```

crystal system: cubic
size of the total moment: 1.201 μB/atom
volume: 41.52 Å³/atom

***

(two)
The following is a SCAN calculation of a crystal of K2CaMn relaxed with PBEsol, from the Alexandria database.

CIF file:
```
data_K2CaMn
_chemical_formula_sum 'K4 Ca2 Mn2'
_cell_length_a 6.054
_cell_length_b 6.054
_cell_length_c 8.540
_cell_angle_alpha 90.00
_cell_angle_beta 90.00
_cell_angle_gamma 90.00
_symmetry_space_group_name_H-M 'I -4 m 2'
_symmetry_Int_Tables_number 119
_symmetry_space_group_name_Hall 'I -4 -2'
loop_
_atom_site_label
_atom_site_fract_x
_atom_site_fract_y
_atom_site_fract_z
K1 0.000 0.000 0.000
K2 0.000 0.500 0.250
Ca1 0.000 0.500 0.750
Mn1 0.000 0.000 0.500
```

crystal system: tetragonal
size of the total moment: 1.230 μB/atom
volume: 39.12 Å³/atom

***

What should be chosen as the most stable of them? Choose (two).

***

(one)
The following is a SCAN calculation of a crystal of NaSr3H relaxed with PBEsol, from the Alexandria database.

CIF file:
```
data_NaSr3H
_chemical_formula_sum 'Na1 Sr3 H1'
_cell_length_a 5.612
_cell_length_b 5.612
_cell_length_c 5.612
_cell_angle_alpha 90.00
_cell_angle_beta 90.00
_cell_angle_gamma 90.00
_symmetry_space_group_name_H-M 'P m -3 m'
_symmetry_Int_Tables_number 221
_symmetry_space_group_name_Hall '-P 4 2 3'
loop_
_atom_site_label
_atom_site_fract_x
_atom_site_fract_y
_atom_site_fract_z
Na1 0.000 0.000 0.000
Sr1 0.000 0.500 0.500
H1 0.500 0.500 0.500
```

crystal system: cubic
size of the total moment: 0.000 μB/atom
volume: 35.34 Å³/atom

***

(two)
The following is a SCAN calculation of a crystal of NaSr3H relaxed with PBEsol, from the Alexandria database.

CIF file:
```
data_NaSr3H
_chemical_formula_sum 'Na1 Sr3 H1'
_cell_length_a 6.480
_cell_length_b 6.480
_cell_length_c 6.480
_cell_angle_alpha 90.00
_cell_angle_beta 90.00
_cell_angle_gamma 90.00
_symmetry_space_group_name_H-M 'P m -3 m'
_symmetry_Int_Tables_number 221
_symmetry_space_group_name_Hall '-P 4 2 3'
loop_
_atom_site_label
_atom_site_fract_x
_atom_site_fract_y
_atom_site_fract_z
Na1 0.000 0.000 0.000
Sr1 0.000 0.000 0.500
H1 0.500 0.500 0.500
```

crystal system: cubic
size of the total moment: 0.000 μB/atom
volume: 54.42 Å³/atom

***

What should be chosen as the most stable of them? Choose (one).

***

(one)
The following is a SCAN calculation of a crystal of MnReAs relaxed with PBEsol, from the Alexandria database.

CIF file:
```
data_MnReAs
_chemical_formula_sum 'Mn2 Re2 As2'
_cell_length_a 2.878
_cell_length_b 2.878
_cell_length_c 9.349
_cell_angle_alpha 90.00
_cell_angle_beta 90.00
_cell_angle_gamma 90.00
_symmetry_space_group_name_H-M 'I 4 m m'
_symmetry_Int_Tables_number 107
_symmetry_space_group_name_Hall 'I 4 -2'
loop_
_atom_site_label
_atom_site_fract_x
_atom_site_fract_y
_atom_site_fract_z
Mn1 0.000 0.000 0.000
Re1 0.000 0.000 0.675
As1 0.000 0.000 0.353
```

crystal system: tetragonal
size of the total moment: 0.000 μB/atom
volume: 12.91 Å³/atom

***

(two)
The following is a SCAN calculation of a crystal of MnReAs relaxed with PBEsol, from the Alexandria database.

CIF file:
```
data_MnReAs
_chemical_formula_sum 'Mn1 Re1 As1'
_cell_length_a 4.0372
_cell_length_b 4.0372
_cell_length_c 2.7575
_cell_angle_alpha 90.00
_cell_angle_beta 90.00
_cell_angle_gamma 120.00
_symmetry_space_group_name_H-M 'P -6 m 2'
_symmetry_Int_Tables_number 187
_symmetry_space_group_name_Hall 'P -6 2'
loop_
_atom_site_label
_atom_site_fract_x
_atom_site_fract_y
_atom_site_fract_z
Mn1 0.0000 0.0000 0.0000
Re1 0.3333 0.6667 0.5000
As1 0.6667 0.3333 0.0000
```

crystal system: hexagonal
size of the total moment: 0.001 μB/atom
volume: 12.97 Å³/atom

***

What should be chosen as the most stable of them? Choose (one).

***

(one)
The following is a SCAN calculation of a crystal of Sc2SeBr relaxed with PBEsol, from the Alexandria database.

CIF file:
```
data_Sc2SeBr
_chemical_formula_sum 'Sc8 Se4 Br4'
_cell_length_a 6.688
_cell_length_b 6.688
_cell_length_c 6.688
_cell_angle_alpha 90.00
_cell_angle_beta 90.00
_cell_angle_gamma 90.00
_symmetry_space_group_name_H-M 'F m -3 m'
_symmetry_Int_Tables_number 225
_symmetry_space_group_name_Hall '-F 4 2 3'
loop_
_atom_site_label
_atom_site_fract_x
_atom_site_fract_y
_atom_site_fract_z
Sc1 0.250 0.250 0.250
Se1 0.000 0.000 0.000
Br1 0.000 0.000 0.500
```

crystal system: cubic
size of the total moment: 0.000 μB/atom
volume: 18.69 Å³/atom

***

(two)
The following is a SCAN calculation of a crystal of Sc2SeBr relaxed with PBEsol, from the Alexandria database.

CIF file:
```
data_Sc2SeBr
_chemical_formula_sum 'Sc2 Se1 Br1'
_cell_length_a 3.624
_cell_length_b 3.624
_cell_length_c 6.261
_cell_angle_alpha 90.00
_cell_angle_beta 90.00
_cell_angle_gamma 90.00
_symmetry_space_group_name_H-M 'P 4 m m'
_symmetry_Int_Tables_number 99
loop_
_symmetry_equiv_pos_as_xyz
'x,y,z'
'-y,x,z'
'-x,-y,z'
'y,-x,z'
'-x,y,z'
'y,x,z'
'x,-y,z'
'-y,-x,z'
loop_
_atom_site_label
_atom_site_fract_x
_atom_site_fract_y
_atom_site_fract_z
Sc1 0.000 0.000 0.000
Sc2 0.500 0.500 0.302
Se1 0.000 0.000 0.439
Br1 0.500 0.500 0.848
```

crystal system: tetragonal
size of the total moment: 0.000 μB/atom
volume: 20.55 Å³/atom

***

What should be chosen as the most stable of them? Choose (two).

***

(one)
The following is a SCAN calculation of a crystal of InHg5 relaxed with PBEsol, from the Alexandria database.

CIF file:
```
data_InHg5
_chemical_formula_sum 'In4 Hg20'
_cell_length_a 8.433
_cell_length_b 8.433
_cell_length_c 8.433
_cell_angle_alpha 90.00
_cell_angle_beta 90.00
_cell_angle_gamma 90.00
_symmetry_space_group_name_H-M 'F -4 3 m'
_symmetry_Int_Tables_number 216
_symmetry_space_group_name_Hall 'F -4 2 3'
loop_
_atom_site_label
_atom_site_fract_x
_atom_site_fract_y
_atom_site_fract_z
In1 0.000 0.000 0.000
Hg1 0.125 0.125 0.625
Hg2 0.250 0.250 0.250
```

crystal system: cubic
size of the total moment: 0.000 μB/atom
volume: 24.99 Å³/atom

***

(two)
The following is a SCAN calculation of a crystal of InHg5 relaxed with PBEsol, from the Alexandria database.

CIF file:
```
data_InHg5
_chemical_formula_sum 'In2 Hg10'
_cell_length_a 4.978
_cell_length_b 3.860
_cell_length_c 14.847
_cell_angle_alpha 90.00
_cell_angle_beta 90.00
_cell_angle_gamma 90.00
_symmetry_space_group_name_H-M 'A m m 2'
_symmetry_Int_Tables_number 38
loop_
_symmetry_equiv_pos_as_xyz
'x,y,z'
'-x,-y,z'
'-x,y,z'
'x,-y,z'
'x,y+1/2,z+1/2'
'-x,-y+1/2,z+1/2'
'-x,y+1/2,z+1/2'
'x,-y+1/2,z+1/2'
loop_
_atom_site_label
_atom_site_fract_x
_atom_site_fract_y
_atom_site_fract_z
In1 0.000 0.000 0.000
Hg1 0.000 0.000 0.333
Hg2 0.000 0.000 0.669
Hg3 0.500 0.000 0.180
Hg4 0.500 0.000 0.513
Hg5 0.500 0.000 0.845
```

crystal system: orthorhombic
size of the total moment: 0.000 μB/atom
volume: 23.77 Å³/atom

***

What should be chosen as the most stable of them? Choose (two).

***

(one)
The following is a SCAN calculation of a crystal of MnReSb2 relaxed with PBEsol, from the Alexandria database.

CIF file:
```
data_MnReSb2
_chemical_formula_sum 'Mn3 Re3 Sb6'
_cell_length_a 3.0582
_cell_length_b 3.0582
_cell_length_c 29.8900
_cell_angle_alpha 90.00
_cell_angle_beta 90.00
_cell_angle_gamma 120.00
_symmetry_space_group_name_H-M 'R 3 m'
_symmetry_Int_Tables_number 160
_symmetry_space_group_name_Hall 'R 3 -2"'
loop_
_atom_site_label
_atom_site_fract_x
_atom_site_fract_y
_atom_site_fract_z
Mn1 0.0000 0.0000 0.0000
Re1 0.0000 0.0000 0.2731
Sb1 0.0000 0.0000 0.5327
Sb2 0.0000 0.0000 0.7387
```

crystal system: trigonal
size of the total moment: 0.713 μB/atom
volume: 20.17 Å³/atom

***

(two)
The following is a SCAN calculation of a crystal of MnReSb2 relaxed with PBEsol, from the Alexandria database.

CIF file:
```
data_MnReSb2
_chemical_formula_sum 'Mn2 Re2 Sb4'
_cell_length_a 3.268
_cell_length_b 5.257
_cell_length_c 8.586
_cell_angle_alpha 90.00
_cell_angle_beta 90.00
_cell_angle_gamma 90.00
_symmetry_space_group_name_H-M 'C m m m'
_symmetry_Int_Tables_number 65
_symmetry_space_group_name_Hall '-C 2 2'
loop_
_atom_site_label
_atom_site_fract_x
_atom_site_fract_y
_atom_site_fract_z
Mn1 0.000 0.000 0.000
Re1 0.000 0.000 0.500
Sb1 0.000 0.500 0.250
```

crystal system: orthorhombic
size of the total moment: 0.829 μB/atom
volume: 18.44 Å³/atom

***

What should be chosen as the most stable of them? Choose (one).